An optimized crystal structure of Rb2ZrMo2. Source: Alexandria, functional GGA-PBE.

Lattice parameters (Å, degrees): 3.509 3.509 26.929 90.00 90.00 90.00
Space group I4/mmm (No. 139)
Asymmetric unit:
Rb (0.000, 0.000, 0.123) x4
Zr (0.000, 0.000, 0.500) x2
Mo (0.000, 0.500, 0.250) x4

Output
Magnetic moment, μB per cell: 5.98
E above lowest polymorph, meV per atom: 0
Calculated total energy, eV/atom: -5.165